# 1
VASP calculation (PBE-GGA) on a relaxed structure of MoI2N2.

The formation energy without anion corrections is 1207 meV per atom. The crystal system is tetragonal. As for the raw total energy: -4.9097 eV per atom. As for the volume: 120.4 Å³ per cell. For the size of the total moment, the calculation gives 2.17 Bohr magnetons per cell. Its space group is No. 123.

```
5
Lattice="5.611 0.000 0.000 0.000 5.611 0.000 0.000 0.000 3.824" Properties=species:S:1:pos:R:3 pbc="T T T"
Mo 0.000 0.000 0.000
I 0.000 2.806 0.000
I 2.806 0.000 0.000
N 0.000 0.000 1.912
N 2.806 2.806 1.912
```

***

# 2
VASP calculation (PBE-GGA) on a relaxed structure of Mo2I2N.

The formation energy without anion corrections is 663 meV per atom. The crystal system is tetragonal. As for the raw total energy: -5.9544 eV per atom. As for the volume: 194.2 Å³ per cell. For the size of the total moment, the calculation gives 0.00 Bohr magnetons per cell. Its space group is No. 127.

```
10
Lattice="5.924 0.000 0.000 0.000 5.924 0.000 0.000 0.000 5.535" Properties=species:S:1:pos:R:3 pbc="T T T"
Mo 1.188 1.774 0.000
Mo 1.774 4.736 0.000
Mo 4.150 1.188 0.000
Mo 4.736 4.150 0.000
I 1.103 1.859 2.768
I 1.859 4.821 2.768
I 4.065 1.103 2.768
I 4.821 4.065 2.768
N 0.000 0.000 0.000
N 2.962 2.962 0.000
```

***

# 3
VASP calculation (PBE-GGA) on a relaxed structure of MoIN2.

The formation energy without anion corrections is 199 meV per atom. The crystal system is cubic. As for the raw total energy: -7.0589 eV per atom. As for the volume: 160.4 Å³ per cell. For the size of the total moment, the calculation gives 1.96 Bohr magnetons per cell. Its space group is No. 227.

```
8
Lattice="0.000 4.312 4.312 4.312 0.000 4.312 4.312 4.312 0.000" Properties=species:S:1:pos:R:3 pbc="T T T"
Mo 1.078 1.078 1.078
Mo 7.546 7.546 7.546
I 3.234 3.234 3.234
I 5.390 5.390 5.390
N 0.000 0.000 0.000
N 2.156 2.156 0.000
N 2.156 0.000 2.156
N 0.000 2.156 2.156
```

***

# 4
VASP calculation (PBE-GGA) on a relaxed structure of MoI2N.

The formation energy without anion corrections is 1691 meV per atom. The crystal system is cubic. As for the raw total energy: -3.8727 eV per atom. As for the volume: 74.8 Å³ per cell. For the size of the total moment, the calculation gives 0.00 Bohr magnetons per cell. Its space group is No. 225.

```
4
Lattice="0.000 3.344 3.344 3.344 0.000 3.344 3.344 3.344 0.000" Properties=species:S:1:pos:R:3 pbc="T T T"
Mo 0.000 0.000 0.000
I 1.672 1.672 1.672
I 5.016 5.016 5.016
N 3.344 3.344 3.344
```

***

# 5
VASP calculation (PBE-GGA) on a relaxed structure of MoIN2.

The formation energy without anion corrections is 1731 meV per atom. The crystal system is cubic. As for the raw total energy: -5.5274 eV per atom. As for the volume: 48.0 Å³ per cell. For the size of the total moment, the calculation gives 0.00 Bohr magnetons per cell. Its space group is No. 225.

```
4
Lattice="0.000 2.885 2.885 2.885 0.000 2.885 2.885 2.885 0.000" Properties=species:S:1:pos:R:3 pbc="T T T"
Mo 0.000 0.000 0.000
I 2.885 2.885 2.885
N 1.443 1.443 1.443
N 4.328 4.328 4.328
```

***

# 6
VASP calculation (PBE-GGA) on a relaxed structure of Mo3IN.

The formation energy without anion corrections is 3313 meV per atom. The crystal system is cubic. As for the raw total energy: -5.1603 eV per atom. As for the volume: 115.2 Å³ per cell. For the size of the total moment, the calculation gives 0.01 Bohr magnetons per cell. Its space group is No. 221.

```
5
Lattice="4.865 0.000 0.000 0.000 4.865 0.000 0.000 0.000 4.865" Properties=species:S:1:pos:R:3 pbc="T T T"
Mo 0.000 0.000 2.433
Mo 0.000 2.433 0.000
Mo 2.433 0.000 0.000
I 0.000 0.000 0.000
N 2.433 2.433 2.433
```

***

# 7
VASP calculation (PBE-GGA) on a relaxed structure of MoIN3.

The formation energy without anion corrections is 2411 meV per atom. The crystal system is cubic. As for the raw total energy: -5.0606 eV per atom. As for the volume: 63.7 Å³ per cell. For the size of the total moment, the calculation gives 2.82 Bohr magnetons per cell. Its space group is No. 221.

```
5
Lattice="3.994 0.000 0.000 0.000 3.994 0.000 0.000 0.000 3.994" Properties=species:S:1:pos:R:3 pbc="T T T"
Mo 0.000 0.000 0.000
I 1.997 1.997 1.997
N 0.000 1.997 1.997
N 1.997 0.000 1.997
N 1.997 1.997 0.000
```

***

# 8
VASP calculation (PBE-GGA) on a relaxed structure of MoIN2.

The formation energy without anion corrections is 1667 meV per atom. The crystal system is trigonal. As for the raw total energy: -5.5912 eV per atom. As for the volume: 62.2 Å³ per cell. For the size of the total moment, the calculation gives 0.00 Bohr magnetons per cell. Its space group is No. 166.

```
4
Lattice="1.583 0.914 7.168 -1.583 0.914 7.168 0.000 -1.828 7.168" Properties=species:S:1:pos:R:3 pbc="T T T"
Mo 0.000 0.000 0.000
I 0.000 0.000 10.752
N 0.000 0.000 1.889
N 0.000 0.000 19.615
```

***

# 9
VASP calculation (PBE-GGA) on a relaxed structure of MoI2N.

The formation energy without anion corrections is 1627 meV per atom. The crystal system is tetragonal. As for the raw total energy: -3.9376 eV per atom. As for the volume: 200.9 Å³ per cell. For the size of the total moment, the calculation gives 1.88 Bohr magnetons per cell. Its space group is No. 122.

```
8
Lattice="-2.969 2.969 5.698 2.969 -2.969 5.698 2.969 2.969 -5.698" Properties=species:S:1:pos:R:3 pbc="T T T"
Mo 0.000 0.000 0.000
Mo 0.000 2.969 2.849
I 1.484 -1.351 4.274
I 1.618 1.484 1.425
I 1.484 4.320 -1.425
I 1.351 1.484 7.123
N 2.969 0.000 2.849
N 0.000 0.000 5.698
```

***

# 10
VASP calculation (PBE-GGA) on a relaxed structure of MoIN2.

The formation energy without anion corrections is 421 meV per atom. The crystal system is trigonal. As for the raw total energy: -6.8370 eV per atom. As for the volume: 79.7 Å³ per cell. For the size of the total moment, the calculation gives 0.00 Bohr magnetons per cell. Its space group is No. 166.

```
4
Lattice="1.543 0.891 9.661 -1.543 0.891 9.661 0.000 -1.782 9.661" Properties=species:S:1:pos:R:3 pbc="T T T"
Mo 0.000 0.000 0.000
I 0.000 0.000 14.491
N 0.000 0.000 10.689
N 0.000 0.000 18.294
```

***

# 11
VASP calculation (PBE-GGA) on a relaxed structure of MoI2N2.

The formation energy without anion corrections is 2220 meV per atom. The crystal system is tetragonal. As for the raw total energy: -3.8969 eV per atom. As for the volume: 131.4 Å³ per cell. For the size of the total moment, the calculation gives 5.19 Bohr magnetons per cell. Its space group is No. 123.

```
5
Lattice="4.130 0.000 0.000 0.000 4.130 0.000 0.000 0.000 7.704" Properties=species:S:1:pos:R:3 pbc="T T T"
Mo 0.000 0.000 0.000
I 2.065 2.065 0.000
I 2.065 2.065 3.852
N 0.000 2.065 3.852
N 2.065 0.000 3.852
```

***

# 12
VASP calculation (PBE-GGA) on a relaxed structure of Mo3IN.

The formation energy without anion corrections is 604 meV per atom. The crystal system is cubic. As for the raw total energy: -7.8696 eV per atom. As for the volume: 77.0 Å³ per cell. For the size of the total moment, the calculation gives 0.00 Bohr magnetons per cell. Its space group is No. 221.

```
5
Lattice="4.254 0.000 0.000 0.000 4.254 0.000 0.000 0.000 4.254" Properties=species:S:1:pos:R:3 pbc="T T T"
Mo 0.000 0.000 2.127
Mo 0.000 2.127 0.000
Mo 2.127 0.000 0.000
I 2.127 2.127 2.127
N 0.000 0.000 0.000
```